(1)
## Ac2Pr4Tm7 (PBE)

Data for a relaxed structure of Ac2Pr4Tm7.

Summary:
energy of formation from the pure elements = 0.20 eV/atom

a = 6.192 Å, b = 6.192 Å, c = 13.654 Å
α = 90.00°, β = 90.00°, γ = 120.00°
Element x y z (fractional)
Ac1 0.333 0.667 0.000
Ac2 0.667 0.333 0.000
Pr1 0.000 0.000 0.393
Pr2 0.000 0.000 0.607
Pr3 0.333 0.667 0.500
Pr4 0.667 0.333 0.500
Tm1 0.000 0.000 0.000
Tm2 0.000 0.348 0.786
Tm3 0.000 0.652 0.214
Tm4 0.348 0.000 0.786
Tm5 0.348 0.348 0.214
Tm6 0.652 0.000 0.214
Tm7 0.652 0.652 0.786


(2)
## Dy4HgIr3 (PBE)

Data for a relaxed structure of Dy4HgIr3.

Summary:
energy of formation from the pure elements = -0.74 eV/atom

a = 8.598 Å, b = 8.598 Å, c = 8.598 Å
α = 33.34°, β = 33.34°, γ = 33.34°
Element x y z (fractional)
Dy1 0.119 0.119 0.119
Dy2 0.371 0.371 0.371
Dy3 0.629 0.629 0.629
Dy4 0.881 0.881 0.881
Hg1 0.500 0.500 0.500
Ir1 0.000 0.000 0.000
Ir2 0.250 0.250 0.250
Ir3 0.750 0.750 0.750


> What is the energy of formation from the pure elements in the first record?

0.20 eV/atom